Computed, not measured: a relaxed CsCrOsO6 crystal at the PBE with a Hubbard U level of DFT.

Calculated values
SG: C2
Calculated total energy, eV per atom: -6.844

abc: 5.2461 5.2442 6.6772
angles: 89.90 89.92 60.00
Last column: magnetic moment on the atom in μB.
Sites, in units of the cell vectors:
O: 0.0168 0.3858 0.3390  -0.03
O: 0.0164 0.5976 0.6609  -0.03
O: 0.5977 0.3851 0.6608  -0.03
O: 0.3856 0.5984 0.3392  -0.03
O: 0.5982 0.0168 0.3392  -0.03
O: 0.3851 0.0162 0.6607  -0.03
Cr: 0.6667 0.6666 0.5000  2.87
Os: 0.3332 0.3334 0.5000  0.23
Cs: 0.0000 0.0000 0.0000  0.00